[1]
This record from Alexandria via LeMat-Bulk describes a geometry-optimized NaZnSbH structure. The functional is PBE.

Structure (POSCAR):
```
NaZnSbH
1.0
3.386 0.000 0.000
0.000 2.564 4.202
0.000 -2.564 4.202
Na Zn Sb H
1 1 1 1
direct
0.000 0.000 0.000
0.500 0.330 0.330
0.500 0.661 0.661
0.000 0.307 0.307
```

Values from the calculation:
- Calculated total energy: -2.637 eV per atom

***

[2]
This record from Alexandria via LeMat-Bulk describes a geometry-optimized Na5Sc3H12 structure. The functional is PBE.

Structure (POSCAR):
```
Na5Sc3H12
1.0
-6.121 6.121 6.121
6.121 -6.121 6.121
6.121 6.121 -6.121
Na Sc H
20 12 48
direct
0.000 0.000 0.000
0.000 0.000 0.500
0.000 0.500 0.000
0.000 0.500 0.500
0.125 0.750 0.875
0.125 0.875 0.250
0.250 0.125 0.875
0.250 0.625 0.375
0.375 0.250 0.625
0.375 0.625 0.750
0.500 0.000 0.000
0.500 0.000 0.500
0.500 0.500 0.000
0.500 0.500 0.500
0.625 0.375 0.250
0.625 0.750 0.375
0.750 0.375 0.625
0.750 0.875 0.125
0.875 0.125 0.750
0.875 0.250 0.125
0.125 0.250 0.375
0.125 0.375 0.750
0.250 0.375 0.125
0.250 0.875 0.625
0.375 0.125 0.250
0.375 0.750 0.125
0.625 0.250 0.875
0.625 0.875 0.750
0.750 0.125 0.375
0.750 0.625 0.875
0.875 0.625 0.250
0.875 0.750 0.625
0.070 0.237 0.149
0.070 0.333 0.920
0.080 0.649 0.412
0.080 0.930 0.667
0.088 0.737 0.667
0.088 0.851 0.420
0.149 0.070 0.237
0.149 0.580 0.912
0.167 0.237 0.588
0.167 0.430 0.580
0.237 0.149 0.070
0.237 0.588 0.167
0.263 0.333 0.912
0.263 0.430 0.351
0.333 0.912 0.263
0.333 0.920 0.070
0.351 0.263 0.430
0.351 0.588 0.920
0.412 0.080 0.649
0.412 0.833 0.763
0.420 0.088 0.851
0.420 0.833 0.570
0.430 0.351 0.263
0.430 0.580 0.167
0.570 0.420 0.833
0.570 0.649 0.737
0.580 0.167 0.430
0.580 0.912 0.149
0.588 0.167 0.237
0.588 0.920 0.351
0.649 0.412 0.080
0.649 0.737 0.570
0.667 0.080 0.930
0.667 0.088 0.737
0.737 0.570 0.649
0.737 0.667 0.088
0.763 0.412 0.833
0.763 0.851 0.930
0.833 0.570 0.420
0.833 0.763 0.412
0.851 0.420 0.088
0.851 0.930 0.763
0.912 0.149 0.580
0.912 0.263 0.333
0.920 0.070 0.333
0.920 0.351 0.588
0.930 0.667 0.080
0.930 0.763 0.851
```

Values from the calculation:
- Calculated total energy: -3.483 eV per atom

***

[3]
This record from Alexandria via LeMat-Bulk describes a geometry-optimized NaSc2H structure. The functional is PBE.

Structure (POSCAR):
```
NaSc2H
1.0
1.641 0.948 8.958
-1.641 0.948 8.958
0.000 -1.895 8.958
Na Sc H
1 2 1
direct
0.000 0.000 0.000
0.122 0.122 0.122
0.878 0.878 0.878
0.500 0.500 0.500
```

Values from the calculation:
- ΔE to the lowest computed polymorph: 0.0 kJ/mol of formula units

***

[4]
This record from Alexandria via LeMat-Bulk describes a geometry-optimized NaSc2H structure. The functional is PBE.

Structure (POSCAR):
```
NaSc2H
1.0
-3.269 3.269 3.841
3.269 -3.269 3.841
3.269 3.269 -3.841
Na Sc H
2 4 2
direct
0.000 0.000 0.000
0.750 0.250 0.500
0.270 0.625 0.145
0.375 0.520 0.645
0.480 0.125 0.855
0.875 0.730 0.355
0.250 0.750 0.500
0.500 0.500 0.000
```

Values from the calculation:
- ΔE to the lowest computed polymorph: 41.7 kJ/mol of formula units

***

[5]
This record from Alexandria via LeMat-Bulk describes a geometry-optimized NaScH2 structure. The functional is PBE.

Structure (POSCAR):
```
NaScH2
1.0
-2.505 2.505 5.077
2.505 -2.505 5.077
2.505 2.505 -5.077
Na Sc H
2 2 4
direct
0.000 0.000 0.000
0.750 0.250 0.500
0.250 0.750 0.500
0.500 0.500 0.000
0.235 0.625 0.110
0.375 0.485 0.610
0.515 0.125 0.890
0.875 0.765 0.390
```

Values from the calculation:
- ΔE to the lowest computed polymorph: 0.0 kJ/mol of formula units

***

[6]
This record from Alexandria via LeMat-Bulk describes a geometry-optimized NaSc2H structure. The functional is PBE.

Structure (POSCAR):
```
NaSc2H
1.0
0.000 3.456 3.456
3.456 0.000 3.456
3.456 3.456 0.000
Na Sc H
1 2 1
direct
0.000 0.000 0.000
0.250 0.250 0.250
0.750 0.750 0.750
0.500 0.500 0.500
```

Values from the calculation:
- ΔE to the lowest computed polymorph: 317.0 kJ/mol of formula units

***

[7]
This record from Alexandria via LeMat-Bulk describes a geometry-optimized Na2ScH6 structure. The functional is PBE.

Structure (POSCAR):
```
Na2ScH6
1.0
0.000 3.784 3.784
3.784 0.000 3.784
3.784 3.784 0.000
Na Sc H
2 1 6
direct
0.250 0.250 0.250
0.750 0.750 0.750
0.000 0.000 0.000
0.259 0.259 0.741
0.259 0.741 0.259
0.259 0.741 0.741
0.741 0.259 0.259
0.741 0.259 0.741
0.741 0.741 0.259
```

Values from the calculation:
- Calculated total energy: -3.055 eV per atom

***

[8]
This record from Alexandria via LeMat-Bulk describes a geometry-optimized NaScH2 structure. The functional is PBE.

Structure (POSCAR):
```
NaScH2
1.0
0.000 2.855 2.855
2.855 0.000 2.855
2.855 2.855 0.000
Na Sc H
1 1 2
direct
0.000 0.000 0.000
0.500 0.500 0.500
0.250 0.250 0.250
0.750 0.750 0.750
```

Values from the calculation:
- ΔE to the lowest computed polymorph: 126.7 kJ/mol of formula units